No. 1
## Zr2FeAgPt (PBE)

Data for crystalline Zr2FeAgPt at its relaxed geometry.

The structure in POSCAR format:
```
Zr2FeAgPt
1.0
5.0523 0.0000 0.0000
0.0000 5.0523 0.0000
0.0000 0.0000 4.4492
Zr Fe Ag Pt
2 1 1 1
direct
0.0000 0.5000 0.0000
0.5000 0.0000 0.0000
0.0000 0.0000 0.5000
0.0000 0.0000 0.0000
0.5000 0.5000 0.5000
```

Output
Energy of formation = 1.239 eV per atom
D(E_F) = 7.49 states/eV per cell
Total magnetization = 0.2 μB/cell
Polymorph energy (0 for the lowest one) = 2.46 eV/f.u.
ρ = 7.91 g cm⁻³

No. 2
## Pu3FeAg3S8 (PBE)

Data for crystalline Pu3FeAg3S8 at its relaxed geometry.

The structure in POSCAR format:
```
Pu3FeAg3S8
1.0
3.8880 2.2447 6.2242
-3.8880 2.2447 6.2242
0.0000 -4.4895 6.2242
Pu Fe Ag S
3 1 3 8
direct
0.0000 0.5000 0.5000
0.5000 0.0000 0.5000
0.5000 0.5000 0.0000
0.0000 0.0000 0.0000
0.0000 0.0000 0.5000
0.0000 0.5000 0.0000
0.5000 0.0000 0.0000
0.2174 0.2174 0.7809
0.2174 0.7809 0.2174
0.2191 0.7826 0.7826
0.2534 0.2534 0.2534
0.7466 0.7466 0.7466
0.7809 0.2174 0.2174
0.7826 0.2191 0.7826
0.7826 0.7826 0.2191
```

Output
E_tot = -7.038 eV/atom
D(E_F) = 30.75 states/eV per cell
Total magnetization = 13.0 μB/cell
ρ = 6.97 g cm⁻³